First-principles (GGA-PBE) data for crystalline Tl4MoCl at its relaxed geometry, as listed in Alexandria.

a b c (Å): 6.3475 6.3475 6.3475
angles (deg): 60.00 60.00 60.00
Atoms (fractional coordinates):
Tl 0.1251 0.1251 0.1251
Tl 0.1251 0.1251 0.6248
Tl 0.1251 0.6248 0.1251
Tl 0.6248 0.1251 0.1251
Mo 0.5000 0.5000 0.5000
Cl 0.7500 0.7500 0.7500

Values from the calculation:
total DFT energy (no corrections) = -3.046 eV per atom
mass density = 8.7 g cm⁻³
Fermi-level density of states = 4.412 states/eV/f.u.
SG = F-43m, No. 216